# 1
ScMnBr PBE optimized geometry; raw formation energy = 0.34 eV/atom; size of the total moment = 3.00 μB per formula unit
1.0
0.0000 3.1777 3.1777
3.1777 0.0000 3.1777
3.1777 3.1777 0.0000
Sc Mn Br
1 1 1
direct
0.0000 0.0000 0.0000
0.5000 0.5000 0.5000
0.2500 0.2500 0.2500



# 2
Sr2CaBi2 PBE optimized geometry; size of the total moment = 0.00 μB per formula unit
1.0
-2.6204 2.6204 7.4694
2.6204 -2.6204 7.4694
2.6204 2.6204 -7.4694
Sr Ca Bi
2 1 2
direct
0.2500 0.7500 0.5000
0.7500 0.2500 0.5000
0.0000 0.0000 0.0000
0.3905 0.3905 0.0000
0.6095 0.6095 0.0000



# 3
SrLi4In2Au PBE optimized geometry; size of the total moment = 0.00 μB per formula unit
1.0
2.3470 1.3551 9.2115
-2.3470 1.3551 9.2115
0.0000 -2.7101 9.2115
Sr Li In Au
1 4 2 1
direct
0.0000 0.0000 0.0000
0.1365 0.1365 0.1365
0.4092 0.4092 0.4092
0.5908 0.5908 0.5908
0.8635 0.8635 0.8635
0.2405 0.2405 0.2405
0.7595 0.7595 0.7595
0.5000 0.5000 0.5000



# 4
Mn4CoTe PBE optimized geometry; raw formation energy = 0.46 eV/atom; size of the total moment = 9.82 μB per formula unit
1.0
0.0000 3.4440 3.4440
3.4440 0.0000 3.4440
3.4440 3.4440 0.0000
Mn Co Te
4 1 1
direct
0.1255 0.1255 0.1255
0.1255 0.1255 0.6236
0.1255 0.6236 0.1255
0.6236 0.1255 0.1255
0.5000 0.5000 0.5000
0.7500 0.7500 0.7500



# 5
Th6Tl3Fe PBE optimized geometry; size of the total moment = 0.00 μB per formula unit
1.0
9.6545 0.0000 0.0000
0.0000 5.5072 0.0000
-1.7606 0.0000 10.8319
Th Tl Fe
12 6 2
direct
0.0625 0.2500 0.4133
0.1969 0.7500 0.1769
0.3038 0.7500 0.8208
0.3559 0.2500 0.9963
0.3882 0.2500 0.3344
0.4288 0.2500 0.6479
0.5712 0.7500 0.3521
0.6118 0.7500 0.6656
0.6441 0.7500 0.0037
0.6962 0.2500 0.1792
0.8031 0.2500 0.8231
0.9375 0.7500 0.5867
0.0105 0.2500 0.0990
0.1127 0.2500 0.7269
0.2729 0.7500 0.4926
0.7271 0.2500 0.5074
0.8873 0.7500 0.2731
0.9895 0.7500 0.9010
0.4279 0.7500 0.1138
0.5721 0.2500 0.8862



# 6
Li2AcSm2Tl2 PBE optimized geometry; size of the total moment = 0.00 μB per formula unit
1.0
2.4857 1.4351 9.4570
-2.4857 1.4351 9.4570
0.0000 -2.8703 9.4570
Li Ac Sm Tl
2 1 2 2
direct
0.0870 0.0870 0.0870
0.9130 0.9130 0.9130
0.5000 0.5000 0.5000
0.3701 0.3701 0.3701
0.6299 0.6299 0.6299
0.2448 0.2448 0.2448
0.7552 0.7552 0.7552



# 7
Li14TlPb PBE optimized geometry; size of the total moment = 0.00 μB per formula unit
1.0
6.9632 0.0000 0.0000
0.0000 6.9632 0.0000
0.0000 0.0000 6.3476
Li Tl Pb
14 1 1
direct
0.0000 0.0000 0.0000
0.0000 0.5000 0.0000
0.0000 0.5000 0.5000
0.2488 0.2488 0.2626
0.2488 0.2488 0.7374
0.2488 0.7512 0.2626
0.2488 0.7512 0.7374
0.5000 0.0000 0.0000
0.5000 0.0000 0.5000
0.5000 0.5000 0.0000
0.7512 0.2488 0.2626
0.7512 0.2488 0.7374
0.7512 0.7512 0.2626
0.7512 0.7512 0.7374
0.0000 0.0000 0.5000
0.5000 0.5000 0.5000



| no. | total DFT energy (no corrections) (eV per atom) |
| --- | --- |
| 1 | -5.3808 |
| 2 | -3.0943 |
| 3 | -2.5670 |
| 4 | -7.3628 |
| 5 | -6.0375 |
| 6 | -3.3644 |
| 7 | -2.1836 |